1.
This record from the Alexandria database describes crystalline Cu2BIrAu at its relaxed geometry. The functional is PBE-GGA.

As for the total energy: -22.42 eV per cell. Its spin magnetization is 0.000 μB/cell. For the energy of formation, the calculation gives 918 meV per atom.

The space group is P4/mmm (No. 123) and the conventional cell measures 4.7489, 4.7489 and 3.8962 Å, with angles of 90.00, 90.00 and 90.00 degrees. Symmetry generates all atoms from Cu at (0.0000, 0.5000, 0.0000), B at (0.0000, 0.0000, 0.5000), Ir at (0.0000, 0.0000, 0.0000) and Au at (0.5000, 0.5000, 0.5000).

2.
This record from the Alexandria database describes crystalline KCuB2Au at its relaxed geometry. The functional is PBE-GGA.

As for the total energy: -7.84 eV per cell. Its spin magnetization is 0.000 μB/cell. For the energy of formation, the calculation gives 2798 meV per atom.

The space group is P4/mmm (No. 123) and the conventional cell measures 4.9109, 4.9109 and 5.5189 Å, with angles of 90.00, 90.00 and 90.00 degrees. Symmetry generates all atoms from K at (0.0000, 0.0000, 0.0000), Cu at (0.5000, 0.5000, 0.5000), B at (0.0000, 0.5000, 0.0000) and Au at (0.0000, 0.0000, 0.5000).

3.
This record from the Alexandria database describes crystalline LaCu2BAu at its relaxed geometry. The functional is PBE-GGA.

As for the total energy: -23.43 eV per cell. Its spin magnetization is 0.000 μB/cell. For the energy of formation, the calculation gives -71 meV per atom.

The space group is P4/mmm (No. 123) and the conventional cell measures 4.3360, 4.3360 and 4.5124 Å, with angles of 90.00, 90.00 and 90.00 degrees. Symmetry generates all atoms from La at (0.0000, 0.0000, 0.0000), Cu at (0.0000, 0.5000, 0.5000), B at (0.5000, 0.5000, 0.5000) and Au at (0.5000, 0.5000, 0.0000).

4.
This record from the Alexandria database describes crystalline MnCuB2Au at its relaxed geometry. The functional is PBE-GGA.

As for the total energy: -24.14 eV per cell. Its spin magnetization is 4.535 μB/cell. For the energy of formation, the calculation gives 1153 meV per atom.

The space group is P4/mmm (No. 123) and the conventional cell measures 3.8285, 3.8285 and 5.0117 Å, with angles of 90.00, 90.00 and 90.00 degrees. Symmetry generates all atoms from Mn at (0.0000, 0.0000, 0.0000), Cu at (0.5000, 0.5000, 0.5000), B at (0.0000, 0.5000, 0.5000) and Au at (0.5000, 0.5000, 0.0000).

5.
This record from the Alexandria database describes crystalline CuBMo2Au at its relaxed geometry. The functional is PBE-GGA.

As for the total energy: -25.29 eV per cell. Its spin magnetization is 6.810 μB/cell. For the energy of formation, the calculation gives 2085 meV per atom.

The space group is P4/mmm (No. 123) and the conventional cell measures 5.2120, 5.2120 and 3.9346 Å, with angles of 90.00, 90.00 and 90.00 degrees. Symmetry generates all atoms from Cu at (0.0000, 0.0000, 0.0000), B at (0.5000, 0.5000, 0.0000), Mo at (0.0000, 0.5000, 0.5000) and Au at (0.5000, 0.5000, 0.5000).

6.
This record from the Alexandria database describes crystalline NaCuB2Au at its relaxed geometry. The functional is PBE-GGA.

As for the total energy: -16.29 eV per cell. Its spin magnetization is 0.000 μB/cell. For the energy of formation, the calculation gives 1151 meV per atom.

The space group is P4/mmm (No. 123) and the conventional cell measures 4.1207, 4.1207 and 5.6135 Å, with angles of 90.00, 90.00 and 90.00 degrees. Symmetry generates all atoms from Na at (0.0000, 0.0000, 0.0000), Cu at (0.5000, 0.5000, 0.0000), B at (0.0000, 0.5000, 0.5000) and Au at (0.0000, 0.0000, 0.5000).

7.
This record from the Alexandria database describes crystalline CuNi2BAu at its relaxed geometry. The functional is PBE-GGA.

As for the total energy: -25.39 eV per cell. Its spin magnetization is 0.000 μB/cell. For the energy of formation, the calculation gives 44 meV per atom.

The space group is P4/mmm (No. 123) and the conventional cell measures 3.8594, 3.8594 and 4.0348 Å, with angles of 90.00, 90.00 and 90.00 degrees. Symmetry generates all atoms from Cu at (0.0000, 0.0000, 0.0000), Ni at (0.0000, 0.5000, 0.5000), B at (0.0000, 0.0000, 0.5000) and Au at (0.5000, 0.5000, 0.0000).

8.
This record from the Alexandria database describes crystalline CuBOsAu2 at its relaxed geometry. The functional is PBE-GGA.

As for the total energy: -26.06 eV per cell. Its spin magnetization is 0.000 μB/cell. For the energy of formation, the calculation gives 500 meV per atom.

The space group is P4/mmm (No. 123) and the conventional cell measures 4.3066, 4.3066 and 4.0571 Å, with angles of 90.00, 90.00 and 90.00 degrees. Symmetry generates all atoms from Cu at (0.0000, 0.0000, 0.0000), B at (0.5000, 0.5000, 0.5000), Os at (0.5000, 0.5000, 0.0000) and Au at (0.0000, 0.5000, 0.5000).